No. 1
# K3Re PBE optimized geometry
# **Magnetic moment**: 1.61 μB per cell
# **Energy relative to the elements**: 1353 meV per atom
# **SG**: Immm
# **Polymorph energy (0 for the lowest one)**: 0.000 eV per atom
data_K3Re
_cell_length_a 10.002
_cell_length_b 10.002
_cell_length_c 10.002
_cell_angle_alpha 163.32
_cell_angle_beta 143.32
_cell_angle_gamma 40.55
_symmetry_space_group_name_H-M 'P 1'
_symmetry_Int_Tables_number 1
_symmetry_space_group_name_Hall 'P 1'
loop_
_atom_site_label
_atom_site_type_symbol
_atom_site_fract_x
_atom_site_fract_y
_atom_site_fract_z
K1 K 0.000 0.000 0.000
K2 K 0.338 0.838 0.500
K3 K 0.662 0.162 0.500
Re1 Re 0.500 0.500 0.000


No. 2
# K2Re PBE optimized geometry
# **Magnetic moment**: 4.14 μB per cell
# **Energy relative to the elements**: 1561 meV per atom
# **SG**: Cmcm
# **Polymorph energy (0 for the lowest one)**: 0.738 eV per atom
data_K2Re
_cell_length_a 10.327
_cell_length_b 10.327
_cell_length_c 6.088
_cell_angle_alpha 90.00
_cell_angle_beta 90.00
_cell_angle_gamma 164.73
_symmetry_space_group_name_H-M 'P 1'
_symmetry_Int_Tables_number 1
_symmetry_space_group_name_Hall 'P 1'
loop_
_atom_site_label
_atom_site_type_symbol
_atom_site_fract_x
_atom_site_fract_y
_atom_site_fract_z
K1 K 0.042 0.958 0.750
K2 K 0.289 0.711 0.250
K3 K 0.711 0.289 0.750
K4 K 0.958 0.042 0.250
Re1 Re 0.376 0.624 0.750
Re2 Re 0.624 0.376 0.250


No. 3
# K2Re PBE optimized geometry
# **Magnetic moment**: 0.00 μB per cell
# **Energy relative to the elements**: 827 meV per atom
# **SG**: C2/m
# **Polymorph energy (0 for the lowest one)**: 0.004 eV per atom
data_K2Re
_cell_length_a 7.123
_cell_length_b 7.123
_cell_length_c 10.299
_cell_angle_alpha 110.11
_cell_angle_beta 110.11
_cell_angle_gamma 30.06
_symmetry_space_group_name_H-M 'P 1'
_symmetry_Int_Tables_number 1
_symmetry_space_group_name_Hall 'P 1'
loop_
_atom_site_label
_atom_site_type_symbol
_atom_site_fract_x
_atom_site_fract_y
_atom_site_fract_z
K1 K 0.019 0.019 0.184
K2 K 0.326 0.326 0.341
K3 K 0.674 0.674 0.659
K4 K 0.981 0.981 0.816
Re1 Re 0.291 0.291 0.973
Re2 Re 0.709 0.709 0.027


No. 4
# K2Re PBE optimized geometry
# **Magnetic moment**: 0.00 μB per cell
# **Energy relative to the elements**: 823 meV per atom
# **SG**: C2/m
# **Polymorph energy (0 for the lowest one)**: 0.000 eV per atom
data_K2Re
_cell_length_a 10.190
_cell_length_b 10.190
_cell_length_c 7.140
_cell_angle_alpha 106.88
_cell_angle_beta 106.88
_cell_angle_gamma 20.90
_symmetry_space_group_name_H-M 'P 1'
_symmetry_Int_Tables_number 1
_symmetry_space_group_name_Hall 'P 1'
loop_
_atom_site_label
_atom_site_type_symbol
_atom_site_fract_x
_atom_site_fract_y
_atom_site_fract_z
K1 K 0.081 0.081 0.306
K2 K 0.342 0.342 0.160
K3 K 0.658 0.658 0.840
K4 K 0.919 0.919 0.694
Re1 Re 0.262 0.262 0.604
Re2 Re 0.738 0.738 0.396